{
  "formula": "RbZrB",
  "functional": "PBE",
  "state": "relaxed",
  "crystal_system": "hexagonal",
  "ef_ev_per_atom": 1.228,
  "de_polymorph_ev_per_atom": 1.229,
  "total_magnetization_mub_per_cell": 0.0,
  "dos_at_fermi_per_ev_cell": 1.0,
  "lattice_angstrom": [[4.9899, 0.0000, 0.0000], [-2.4949, 4.3214, 0.0000], [0.0000, 0.0000, 5.4492]],
  "species": ["Rb", "Rb", "Zr", "Zr", "B", "B"],
  "fractional_positions": [[0.0000, 0.0000, 0.0000], [0.0000, 0.0000, 0.5000], [0.3333, 0.6667, 0.1342], [0.6667, 0.3333, 0.6342], [0.3333, 0.6667, 0.6719], [0.6667, 0.3333, 0.1719]]
}

---

{
  "formula": "CdInNiRu",
  "functional": "PBE",
  "state": "relaxed",
  "crystal_system": "cubic",
  "ef_ev_per_atom": 0.112,
  "total_magnetization_mub_per_cell": 0.0,
  "dos_at_fermi_per_ev_cell": 2.0,
  "lattice_angstrom": [[0.0000, 3.1928, 3.1928], [3.1928, 0.0000, 3.1928], [3.1928, 3.1928, 0.0000]],
  "species": ["Cd", "In", "Ni", "Ru"],
  "fractional_positions": [[0.0000, 0.0000, 0.0000], [0.5000, 0.5000, 0.5000], [0.7500, 0.7500, 0.7500], [0.2500, 0.2500, 0.2500]]
}

---

{
  "formula": "AcPu3Pd8",
  "functional": "PBE",
  "state": "relaxed",
  "crystal_system": "trigonal",
  "ef_ev_per_atom": -0.569,
  "total_magnetization_mub_per_cell": 17.0,
  "dos_at_fermi_per_ev_cell": 35.0,
  "lattice_angstrom": [[5.5180, 0.0000, 0.0000], [-2.7590, 4.7787, 0.0000], [0.0000, 0.0000, 9.0358]],
  "species": ["Ac", "Pu", "Pu", "Pu", "Pd", "Pd", "Pd", "Pd", "Pd", "Pd", "Pd", "Pd"],
  "fractional_positions": [[0.0000, 0.0000, 0.0000], [0.0000, 0.0000, 0.3818], [0.6667, 0.3333, 0.4829], [0.6667, 0.3333, 0.8397], [0.1653, 0.3306, 0.6755], [0.1653, 0.8347, 0.6755], [0.3333, 0.6667, 0.4278], [0.3333, 0.6667, 0.9272], [0.5023, 0.0047, 0.1821], [0.5023, 0.4977, 0.1821], [0.6694, 0.8347, 0.6755], [0.9953, 0.4977, 0.1821]]
}

---

{
  "formula": "Ca2YPb2",
  "functional": "PBE",
  "state": "relaxed",
  "crystal_system": "tetragonal",
  "ef_ev_per_atom": -0.437,
  "total_magnetization_mub_per_cell": 0.0,
  "dos_at_fermi_per_ev_cell": 5.2,
  "lattice_angstrom": [[9.1616, 0.0000, 0.0000], [0.0000, 9.1616, 0.0000], [0.0000, 0.0000, 3.7280]],
  "species": ["Ca", "Ca", "Ca", "Ca", "Y", "Y", "Pb", "Pb", "Pb", "Pb"],
  "fractional_positions": [[0.1327, 0.3673, 0.0000], [0.3673, 0.8673, 0.0000], [0.6327, 0.1327, 0.0000], [0.8673, 0.6327, 0.0000], [0.0000, 0.0000, 0.5000], [0.5000, 0.5000, 0.5000], [0.1700, 0.6700, 0.5000], [0.3300, 0.1700, 0.5000], [0.6700, 0.8300, 0.5000], [0.8300, 0.3300, 0.5000]]
}

---

{
  "formula": "Ce12MgIr7",
  "functional": "PBE",
  "state": "relaxed",
  "crystal_system": "trigonal",
  "ef_ev_per_atom": -0.466,
  "total_magnetization_mub_per_cell": 0.0,
  "dos_at_fermi_per_ev_cell": 39.9,
  "lattice_angstrom": [[6.8946, 3.9806, 2.7316], [-6.8946, 3.9806, 2.7316], [0.0000, -7.9612, 2.7316]],
  "species": ["Ce", "Ce", "Ce", "Ce", "Ce", "Ce", "Ce", "Ce", "Ce", "Ce", "Ce", "Ce", "Mg", "Ir", "Ir", "Ir", "Ir", "Ir", "Ir", "Ir"],
  "fractional_positions": [[0.0966, 0.3095, 0.4205], [0.1862, 0.6951, 0.3625], [0.3049, 0.6375, 0.8138], [0.3095, 0.4205, 0.0966], [0.3625, 0.1862, 0.6951], [0.4205, 0.0966, 0.3095], [0.5795, 0.9034, 0.6905], [0.6375, 0.8138, 0.3049], [0.6905, 0.5795, 0.9034], [0.6951, 0.3625, 0.1862], [0.8138, 0.3049, 0.6375], [0.9034, 0.6905, 0.5795], [0.0000, 0.0000, 0.0000], [0.0180, 0.9214, 0.3156], [0.0786, 0.6844, 0.9820], [0.3156, 0.0180, 0.9214], [0.5000, 0.5000, 0.5000], [0.6844, 0.9820, 0.0786], [0.9214, 0.3156, 0.0180], [0.9820, 0.0786, 0.6844]]
}

---

{
  "formula": "KTl3Sb",
  "functional": "PBE",
  "state": "relaxed",
  "crystal_system": "cubic",
  "de_polymorph_ev_per_atom": 0.806,
  "total_magnetization_mub_per_cell": 0.0,
  "dos_at_fermi_per_ev_cell": 2.7,
  "e_form_raw_mev_per_atom": 674,
  "lattice_angstrom": [[6.0003, 0.0000, 0.0000], [0.0000, 6.0003, 0.0000], [0.0000, 0.0000, 6.0003]],
  "species": ["K", "Tl", "Tl", "Tl", "Sb"],
  "fractional_positions": [[0.0000, 0.0000, 0.0000], [0.0000, 0.0000, 0.5000], [0.0000, 0.5000, 0.0000], [0.5000, 0.0000, 0.0000], [0.5000, 0.5000, 0.5000]]
}

---

{
  "formula": "ZrSc4Ni",
  "functional": "PBE",
  "state": "relaxed",
  "crystal_system": "cubic",
  "ef_ev_per_atom": 0.488,
  "de_polymorph_ev_per_atom": 0.638,
  "total_magnetization_mub_per_cell": 0.0,
  "dos_at_fermi_per_ev_cell": 9.7,
  "lattice_angstrom": [[0.0000, 4.0536, 4.0536], [4.0536, 0.0000, 4.0536], [4.0536, 4.0536, 0.0000]],
  "species": ["Zr", "Sc", "Sc", "Sc", "Sc", "Ni"],
  "fractional_positions": [[0.0000, 0.0000, 0.0000], [0.3741, 0.3741, 0.3741], [0.3741, 0.3741, 0.8776], [0.3741, 0.8776, 0.3741], [0.8776, 0.3741, 0.3741], [0.7500, 0.7500, 0.7500]]
}

---

{
  "formula": "HfIBrO2",
  "functional": "PBE",
  "state": "relaxed",
  "crystal_system": "tetragonal",
  "de_polymorph_ev_per_atom": 2.169,
  "total_magnetization_mub_per_cell": 0.0,
  "dos_at_fermi_per_ev_cell": 2.7,
  "e_form_raw_mev_per_atom": 746,
  "lattice_angstrom": [[4.0538, 0.0000, 0.0000], [0.0000, 4.0538, 0.0000], [0.0000, 0.0000, 6.2155]],
  "species": ["Hf", "I", "Br", "O", "O"],
  "fractional_positions": [[0.0000, 0.0000, 0.0000], [0.5000, 0.5000, 0.0000], [0.5000, 0.5000, 0.5000], [0.0000, 0.5000, 0.5000], [0.5000, 0.0000, 0.5000]]
}